# 1
First-principles (PBE-GGA) data for a geometry-optimized CaHg2P structure, as listed in the Alexandria database.

Computed properties:
Fermi-level density of states in states/eV per atom: 0.2629
Formation energy in eV/atom: -0.422
Space-group type: P-1, No. 2
Crystal system: triclinic

Unit cell a=5.345 b=5.375 c=7.776 alpha=85.72 beta=74.16 gamma=69.65
Atoms (fractional coordinates):
Hg (0.821, 0.599, 0.191)
P (0.187, 0.825, 0.463)
Ca (0.353, 0.279, 0.358)
Hg (0.278, 0.845, 0.064)
P (0.813, 0.175, 0.537)
Ca (0.647, 0.721, 0.642)
Hg (0.722, 0.155, 0.936)
Hg (0.179, 0.401, 0.809)

---

# 2
First-principles (PBE-GGA) data for a geometry-optimized Ca8HgP4 structure, as listed in the Alexandria database.

Computed properties:
Fermi-level density of states in states/eV per atom: 0.2222
Formation energy in eV/atom: -0.830
Space-group type: F-43m, No. 216
Crystal system: cubic

Unit cell a=8.564 b=8.564 c=8.564 alpha=60.00 beta=60.00 gamma=60.00
Each line ends with the local moment (μB).
Atoms (fractional coordinates):
P (0.374, 0.879, 0.374)  0.01
P (0.879, 0.374, 0.374)  0.01
Ca (0.583, 0.139, 0.139)  0.01
Ca (0.139, 0.139, 0.583)  0.01
Ca (0.607, 0.607, 0.607)  0.05
P (0.374, 0.374, 0.374)  0.01
P (0.374, 0.374, 0.879)  0.01
Ca (0.139, 0.139, 0.139)  0.01
Hg (0.750, 0.750, 0.750)  0.19
Ca (0.180, 0.607, 0.607)  0.05
Ca (0.139, 0.583, 0.139)  0.01
Ca (0.607, 0.607, 0.180)  0.05
Ca (0.607, 0.180, 0.607)  0.05

---

# 3
First-principles (PBE-GGA) data for a geometry-optimized CaHg2P structure, as listed in the Alexandria database.

Computed properties:
Fermi-level density of states in states/eV per atom: 0.2117
Formation energy in eV/atom: -0.437
Space-group type: P-1, No. 2
Crystal system: triclinic

Unit cell a=4.100 b=5.413 c=10.545 alpha=82.94 beta=78.98 gamma=67.74
Atoms (fractional coordinates):
P (0.893, 0.129, 0.586)
Hg (0.188, 0.334, 0.793)
Ca (0.585, 0.716, 0.615)
Ca (0.415, 0.284, 0.385)
Hg (0.812, 0.666, 0.207)
Hg (0.396, 0.782, 0.933)
P (0.107, 0.871, 0.414)
Hg (0.604, 0.218, 0.067)

---

# 4
First-principles (PBE-GGA) data for a geometry-optimized Ca2HgPPd structure, as listed in the Alexandria database.

Computed properties:
Fermi-level density of states in states/eV per atom: 0.9146
Formation energy in eV/atom: -0.619
Space-group type: P4/mmm, No. 123
Crystal system: tetragonal

Unit cell a=5.483 b=5.483 c=4.521 alpha=90.00 beta=90.00 gamma=90.00
Atoms (fractional coordinates):
P (0.000, 0.000, 0.000)
Pd (0.000, 0.000, 0.500)
Ca (0.500, 0.000, 0.000)
Ca (0.000, 0.500, 0.000)
Hg (0.500, 0.500, 0.500)